(1)
First-principles (PBE-GGA) data for a relaxed KCoCu2 crystal, as listed in Alexandria.

Structure (CIF):
```
data_KCoCu2
_chemical_formula_sum 'K1 Co1 Cu2'
_symmetry_space_group_name_H-M 'P 1'
_symmetry_Int_Tables_number 1
_symmetry_space_group_name_Hall 'P 1'
_cell_length_a 2.606
_cell_length_b 5.043
_cell_length_c 5.043
_cell_angle_alpha 90.00
_cell_angle_beta 90.00
_cell_angle_gamma 90.00
loop_
_atom_site_label
_atom_site_fract_x
_atom_site_fract_y
_atom_site_fract_z
_atom_site_occupancy
Co1 0.500 0.000 0.500 1
Cu1 0.000 0.000 0.000 1
Cu2 0.000 0.500 0.500 1
K1 0.500 0.500 0.000 1
```

***

(2)
First-principles (PBE-GGA) data for a relaxed K2CoCu crystal, as listed in Alexandria.

Structure (CIF):
```
data_K2CoCu
_chemical_formula_sum 'K2 Co1 Cu1'
_symmetry_space_group_name_H-M 'P 1'
_symmetry_Int_Tables_number 1
_symmetry_space_group_name_Hall 'P 1'
_cell_length_a 3.973
_cell_length_b 3.973
_cell_length_c 8.089
_cell_angle_alpha 90.00
_cell_angle_beta 90.00
_cell_angle_gamma 90.11
loop_
_atom_site_label
_atom_site_fract_x
_atom_site_fract_y
_atom_site_fract_z
_atom_site_occupancy
Co1 0.500 0.500 0.250 1
Cu1 0.500 0.500 0.750 1
K1 0.000 0.000 0.991 1
K2 0.000 0.000 0.509 1
```

***

(3)
First-principles (PBE-GGA) data for a relaxed KCoCu2 crystal, as listed in Alexandria.

Structure (CIF):
```
data_KCoCu2
_chemical_formula_sum 'K2 Co2 Cu4'
_symmetry_space_group_name_H-M 'P 1'
_symmetry_Int_Tables_number 1
_symmetry_space_group_name_Hall 'P 1'
_cell_length_a 4.917
_cell_length_b 4.917
_cell_length_c 8.777
_cell_angle_alpha 73.73
_cell_angle_beta 73.73
_cell_angle_gamma 90.00
loop_
_atom_site_label
_atom_site_fract_x
_atom_site_fract_y
_atom_site_fract_z
_atom_site_occupancy
K1 0.500 0.500 0.000 1
K2 0.250 0.750 0.500 1
Co1 0.000 0.000 0.000 1
Co2 0.750 0.250 0.500 1
Cu1 0.875 0.125 0.250 1
Cu2 0.875 0.625 0.250 1
Cu3 0.375 0.125 0.750 1
Cu4 0.875 0.125 0.750 1
```

***

(4)
First-principles (PBE-GGA) data for a relaxed KCoCu2 crystal, as listed in Alexandria.

Structure (CIF):
```
data_KCoCu2
_chemical_formula_sum 'K1 Co1 Cu2'
_symmetry_space_group_name_H-M 'P 1'
_symmetry_Int_Tables_number 1
_symmetry_space_group_name_Hall 'P 1'
_cell_length_a 5.916
_cell_length_b 5.916
_cell_length_c 5.916
_cell_angle_alpha 154.63
_cell_angle_beta 127.70
_cell_angle_gamma 59.00
loop_
_atom_site_label
_atom_site_fract_x
_atom_site_fract_y
_atom_site_fract_z
_atom_site_occupancy
Co1 0.207 0.707 0.500 1
Cu1 0.001 0.001 0.000 1
Cu2 0.791 0.291 0.500 1
K1 0.501 0.501 0.000 1
```

***

no.,DOS(E_F) (states/eV per cell),polymorph energy (0 for the lowest one) (meV per atom),energy of formation (meV per atom)
1,4.06,306,839.2
2,1.77,379,956.1
3,8.17,190,723.3
4,4.21,198,731.6